[1]
First-principles (GGA-PBE) data for crystalline Ac2ErThSe4 at its relaxed geometry, as listed in the Alexandria database.

a = 4.2241 Å, b = 7.4275 Å, c = 7.5270 Å
α = 108.62°, β = 90.00°, γ = 90.00°
Last column: nearest neighbours and their distance in Å.
Fractional coordinates of all 8 atoms:
Ac (0.5000, 0.0000, 0.5000)  6 Se 3.11
Se (0.0000, 0.7519, 0.2278)  1 Er 2.89, 2 Th 2.98, 3 Ac 3.11-3.19
Se (0.5000, 0.7677, 0.7782)  2 Er 2.90, 1 Th 2.98, 3 Ac 3.11-3.18
Se (0.0000, 0.2481, 0.7722)  1 Er 2.89, 2 Th 2.98, 3 Ac 3.11-3.19
Er (0.0000, 0.0000, 0.0000)  6 Se 2.89-2.90
Th (0.5000, 0.5000, 0.0000)  6 Se 2.98
Se (0.5000, 0.2323, 0.2218)  2 Er 2.90, 1 Th 2.98, 3 Ac 3.11-3.18
Ac (0.0000, 0.5000, 0.5000)  6 Se 3.18-3.19

Results
ΔE_f (raw) ... -1.717 eV per atom
Magnetization ... 0.00 μB/atom
Total DFT energy (no corrections) ... -5.98 eV/atom
Volume ... 27.974 Å³/atom

=====

[2]
First-principles (GGA-PBE) data for crystalline AcEr2ThSe4 at its relaxed geometry, as listed in the Alexandria database.

a = 4.0699 Å, b = 7.5629 Å, c = 7.0882 Å
α = 71.88°, β = 90.00°, γ = 90.00°
Last column: nearest neighbours and their distance in Å.
Fractional coordinates of all 8 atoms:
Er (0.5000, 0.0000, 0.5000)  6 Se 2.82-2.83
Er (0.0000, 0.0000, 0.0000)  6 Se 2.88
Th (0.0000, 0.5000, 0.5000)  6 Se 3.05-3.07
Ac (0.5000, 0.5000, 0.0000)  6 Se 3.11
Se (0.5000, 0.7740, 0.2481)  3 Er 2.83-2.88, 2 Th 3.05, 1 Ac 3.11
Se (0.5000, 0.2260, 0.7519)  3 Er 2.83-2.88, 2 Th 3.05, 1 Ac 3.11
Se (0.0000, 0.7791, 0.7345)  3 Er 2.82-2.88, 1 Th 3.07, 2 Ac 3.11
Se (0.0000, 0.2209, 0.2655)  3 Er 2.82-2.88, 1 Th 3.07, 2 Ac 3.11

Results
ΔE_f (raw) ... -1.677 eV per atom
Magnetization ... 0.00 μB/atom
Total DFT energy (no corrections) ... -6.00 eV/atom
Volume ... 25.919 Å³/atom

=====

[3]
First-principles (GGA-PBE) data for crystalline AcEr2Tl3Se6 at its relaxed geometry, as listed in the Alexandria database.

a = 7.4362 Å, b = 7.4362 Å, c = 8.1410 Å
α = 98.77°, β = 98.77°, γ = 119.88°
Last column: nearest neighbours and their distance in Å.
Fractional coordinates of all 12 atoms:
Tl (0.1629, 0.8371, 0.5000)  6 Se 3.27-3.42
Se (0.4250, 0.0695, 0.2083)  2 Er 2.89-2.90, 1 Ac 3.10
Tl (0.8371, 0.1629, 0.5000)  6 Se 3.27-3.42
Se (0.7127, 0.7127, 0.2038)  2 Er 2.88, 1 Ac 3.08
Se (0.0695, 0.4250, 0.2083)  2 Er 2.89-2.90, 1 Ac 3.10
Er (0.6667, 0.3333, 0.0000)  6 Se 2.88-2.90
Se (0.5750, 0.9305, 0.7917)  2 Er 2.89-2.90, 1 Ac 3.10
Se (0.2873, 0.2873, 0.7962)  2 Er 2.88, 1 Ac 3.08
Ac (0.0000, 0.0000, 0.0000)  6 Se 3.08-3.10
Er (0.3333, 0.6667, 0.0000)  6 Se 2.88-2.90
Tl (0.5000, 0.5000, 0.5000)  6 Se 3.26-3.42
Se (0.9305, 0.5750, 0.7917)  2 Er 2.89-2.90, 1 Ac 3.10

Results
ΔE_f (raw) ... -1.388 eV per atom
Magnetization ... 0.00 μB/atom
Total DFT energy (no corrections) ... -4.82 eV/atom
Volume ... 30.982 Å³/atom

=====

[4]
First-principles (GGA-PBE) data for crystalline Ac3ErTl4Se8 at its relaxed geometry, as listed in the Alexandria database.

a = 8.9410 Å, b = 9.2982 Å, c = 8.9408 Å
α = 118.75°, β = 120.00°, γ = 90.00°
Last column: nearest neighbours and their distance in Å.
Fractional coordinates of all 16 atoms:
Tl (0.0000, 0.0000, 0.0000)  6 Se 3.36
Tl (0.0000, 0.0000, 0.5000)  6 Se 3.36-3.37
Er (0.0000, 0.5000, 0.0000)  6 Se 2.93
Se (0.7403, 0.7208, 0.4807)  3 Ac 3.09, 3 Tl 3.36-3.37
Se (0.2597, 0.2792, 0.5193)  3 Ac 3.09, 3 Tl 3.36-3.37
Tl (0.5000, 0.0000, 0.5000)  6 Se 3.36-3.37
Se (0.2274, 0.7109, 0.4548)  1 Er 2.93, 2 Ac 3.12
Se (0.2437, 0.2892, 0.0164)  1 Er 2.93, 2 Ac 3.12
Ac (0.5000, 0.5000, 0.0000)  6 Se 3.09-3.12
Se (0.2273, 0.7108, 0.9836)  1 Er 2.93, 2 Ac 3.12
Se (0.7563, 0.7108, 0.9836)  1 Er 2.93, 2 Ac 3.12
Tl (0.5000, 0.0000, 0.0000)  6 Se 3.53
Se (0.7727, 0.2892, 0.0164)  1 Er 2.93, 2 Ac 3.12
Ac (0.0000, 0.5000, 0.5000)  6 Se 3.09-3.12
Se (0.7726, 0.2891, 0.5452)  1 Er 2.93, 2 Ac 3.12
Ac (0.5000, 0.5000, 0.5000)  6 Se 3.09-3.12

Results
ΔE_f (raw) ... -1.409 eV per atom
Magnetization ... 0.00 μB/atom
Total DFT energy (no corrections) ... -4.80 eV/atom
Volume ... 33.454 Å³/atom

=====

[5]
First-principles (GGA-PBE) data for crystalline AcEr2TmSe6 at its relaxed geometry, as listed in the Alexandria database.

a = 7.3253 Å, b = 7.3254 Å, c = 7.7252 Å
α = 61.69°, β = 61.70°, γ = 60.00°
Last column: nearest neighbours and their distance in Å.
Fractional coordinates of all 10 atoms:
Se (0.3695, 0.7301, 0.7454)  2 Er 2.80-2.87, 1 Tm 2.87, 1 Ac 3.05
Se (0.9149, 0.6095, 0.2426)  2 Er 2.83-2.88, 1 Tm 2.86
Tm (0.3191, 0.3191, 0.0427)  6 Se 2.86-2.87
Er (0.5176, 0.5176, 0.4472)  6 Se 2.83-2.87
Se (0.7301, 0.1549, 0.7454)  2 Er 2.80-2.87, 1 Tm 2.87, 1 Ac 3.05
Er (0.0094, 0.0094, 0.9718)  6 Se 2.80-2.88
Se (0.6095, 0.2330, 0.2426)  2 Er 2.83-2.88, 1 Tm 2.86
Se (0.1550, 0.3696, 0.7454)  2 Er 2.80-2.87, 1 Tm 2.87, 1 Ac 3.05
Ac (0.8035, 0.8035, 0.5895)  6 Se 3.05-3.20
Se (0.2330, 0.9149, 0.2426)  2 Er 2.83-2.88, 1 Tm 2.86

Results
ΔE_f (raw) ... -1.868 eV per atom
Magnetization ... 0.00 μB/atom
Total DFT energy (no corrections) ... -5.73 eV/atom
Volume ... 30.041 Å³/atom

=====

[6]
First-principles (GGA-PBE) data for crystalline Ac2ErTmSe6 at its relaxed geometry, as listed in the Alexandria database.

a = 7.1383 Å, b = 7.8548 Å, c = 10.5104 Å
α = 90.00°, β = 90.06°, γ = 90.00°
Last column: nearest neighbours and their distance in Å.
Fractional coordinates of all 20 atoms:
Se (0.1270, 0.4632, 0.7506)  1 Tm 2.79, 1 Er 2.80, 2 Ac 3.10-3.11
Se (0.8223, 0.8118, 0.9378)  1 Er 2.81, 1 Tm 2.83, 1 Ac 3.15
Se (0.1788, 0.1873, 0.4378)  1 Tm 2.80, 1 Er 2.84
Se (0.3212, 0.6873, 0.0622)  1 Tm 2.80, 1 Er 2.84
Er (0.0000, 0.5000, 0.5000)  6 Se 2.80-2.84
Er (0.5000, 0.0000, 0.0000)  6 Se 2.80-2.84
Se (0.6777, 0.3118, 0.5622)  1 Er 2.81, 1 Tm 2.83, 1 Ac 3.15
Tm (0.5000, 0.0000, 0.5000)  6 Se 2.79-2.83
Se (0.6788, 0.3127, 0.9378)  1 Tm 2.80, 1 Er 2.84
Se (0.8730, 0.5368, 0.2494)  1 Tm 2.79, 1 Er 2.80, 2 Ac 3.10-3.11
Se (0.1777, 0.1882, 0.0622)  1 Er 2.81, 1 Tm 2.83, 1 Ac 3.15
Tm (0.0000, 0.5000, 0.0000)  6 Se 2.79-2.83
Se (0.6270, 0.0368, 0.2506)  1 Tm 2.79, 1 Er 2.80, 2 Ac 3.10-3.11
Ac (0.4640, 0.4036, 0.2502)  6 Se 3.10-3.31
Se (0.3223, 0.6882, 0.4378)  1 Er 2.81, 1 Tm 2.83, 1 Ac 3.15
Ac (0.9640, 0.0964, 0.7502)  6 Se 3.10-3.31
Se (0.8212, 0.8127, 0.5622)  1 Tm 2.80, 1 Er 2.84
Se (0.3730, 0.9632, 0.7494)  1 Tm 2.79, 1 Er 2.80, 2 Ac 3.10-3.11
Ac (0.0360, 0.9036, 0.2498)  6 Se 3.10-3.31
Ac (0.5360, 0.5964, 0.7498)  6 Se 3.10-3.31

Results
ΔE_f (raw) ... -1.976 eV per atom
Magnetization ... 0.00 μB/atom
Total DFT energy (no corrections) ... -5.79 eV/atom
Volume ... 29.466 Å³/atom

=====

[7]
First-principles (GGA-PBE) data for crystalline AcErTm2Se6 at its relaxed geometry, as listed in the Alexandria database.

a = 7.3171 Å, b = 7.3172 Å, c = 7.7048 Å
α = 61.65°, β = 61.65°, γ = 60.00°
Last column: nearest neighbours and their distance in Å.
Fractional coordinates of all 10 atoms:
Se (0.6127, 0.2344, 0.2418)  2 Tm 2.82-2.86, 1 Er 2.87
Se (0.7321, 0.1563, 0.7441)  2 Tm 2.79-2.86, 1 Er 2.88, 1 Ac 3.05
Tm (0.5170, 0.5170, 0.4490)  6 Se 2.82-2.86
Se (0.3674, 0.7322, 0.7441)  2 Tm 2.79-2.86, 1 Er 2.88, 1 Ac 3.05
Ac (0.8028, 0.8028, 0.5914)  6 Se 3.05-3.20
Er (0.3183, 0.3183, 0.0449)  6 Se 2.87-2.88
Se (0.1564, 0.3674, 0.7441)  2 Tm 2.79-2.86, 1 Er 2.88, 1 Ac 3.05
Se (0.9111, 0.6127, 0.2418)  2 Tm 2.82-2.86, 1 Er 2.87
Se (0.2344, 0.9110, 0.2418)  2 Tm 2.82-2.86, 1 Er 2.87
Tm (0.0092, 0.0093, 0.9722)  6 Se 2.79-2.86

Results
ΔE_f (raw) ... -1.867 eV per atom
Magnetization ... 0.00 μB/atom
Total DFT energy (no corrections) ... -5.72 eV/atom
Volume ... 29.876 Å³/atom

=====

[8]
First-principles (GGA-PBE) data for crystalline Ac2YErSe4 at its relaxed geometry, as listed in the Alexandria database.

a = 4.1270 Å, b = 7.1828 Å, c = 7.7692 Å
α = 107.83°, β = 90.00°, γ = 90.00°
Last column: nearest neighbours and their distance in Å.
Fractional coordinates of all 8 atoms:
Se (0.5000, 0.2415, 0.2182)  1 Er 2.87, 2 Y 2.89, 3 Ac 3.16-3.18
Ac (0.5000, 0.0000, 0.5000)  6 Se 3.18
Y (0.0000, 0.0000, 0.0000)  6 Se 2.89
Ac (0.0000, 0.5000, 0.5000)  6 Se 3.16
Se (0.0000, 0.7362, 0.2167)  2 Er 2.87, 1 Y 2.89, 3 Ac 3.16-3.18
Se (0.0000, 0.2638, 0.7833)  2 Er 2.87, 1 Y 2.89, 3 Ac 3.16-3.18
Er (0.5000, 0.5000, 0.0000)  6 Se 2.87
Se (0.5000, 0.7585, 0.7818)  1 Er 2.87, 2 Y 2.89, 3 Ac 3.16-3.18

Results
ΔE_f (raw) ... -1.795 eV per atom
Magnetization ... 0.00 μB/atom
Total DFT energy (no corrections) ... -5.94 eV/atom
Volume ... 27.405 Å³/atom

=====

> What is the formula in the fifth record?

AcEr2TmSe6